Entry from Alexandria via LeMat-Bulk: crystalline TbErCdHg at its relaxed geometry (PBE-GGA).

Computed properties:
**Total magnetization**: 0.022 μB/f.u.
**SG**: F-43m (216)
**DFT total energy**: -2.997 eV/atom

```
TbErCdHg
1.0
7.447 0.000 0.000
0.000 7.447 0.000
0.000 0.000 7.447
Tb Er Cd Hg
4 4 4 4
Direct
0.000 0.000 0.000
0.000 0.500 0.500
0.500 0.000 0.500
0.500 0.500 0.000
0.000 0.000 0.500
0.000 0.500 0.000
0.500 0.000 0.000
0.500 0.500 0.500
0.250 0.250 0.250
0.250 0.750 0.750
0.750 0.250 0.750
0.750 0.750 0.250
0.250 0.250 0.750
0.250 0.750 0.250
0.750 0.250 0.250
0.750 0.750 0.750
```